1.
Here is Li2ReSi after structural relaxation from Alexandria via LeMat-Bulk. Energies are from PBE-GGA.

a = 6.828 Å, b = 6.828 Å, c = 4.770 Å
α = 90.00°, β = 90.00°, γ = 90.00°
Space group I-42d (No. 122)
Inequivalent atoms, fractional coordinates:
Li 0.230 0.250 0.125 (multiplicity 8)
Re 0.000 0.000 0.500 (multiplicity 4)
Si 0.000 0.000 0.000 (multiplicity 4)

The value obtained for the calculated total energy is -4.952 eV/atom. For the uncorrected formation energy, the calculation gives 1.89 eV/f.u.



2.
Here is LiTl2PtCl6 after structural relaxation from Alexandria via LeMat-Bulk. Energies are from PBE-GGA.

a = 7.0823 Å, b = 7.0823 Å, c = 36.3068 Å
α = 90.00°, β = 90.00°, γ = 120.00°
Space group R-3m (No. 166, hexagonal axes)
Inequivalent atoms, fractional coordinates:
Li 0.0000 0.0000 0.0847 (multiplicity 6)
Tl 0.0000 0.0000 0.1955 (multiplicity 6)
Tl 0.0000 0.0000 0.3844 (multiplicity 6)
Pt 0.0000 0.0000 0.0000 (multiplicity 3)
Pt 0.0000 0.0000 0.5000 (multiplicity 3)
Cl 0.0053 0.5026 0.2069 (multiplicity 18)
Cl 0.0184 0.5092 0.6280 (multiplicity 18)

The value obtained for the calculated total energy is -3.271 eV/atom. For the uncorrected formation energy, the calculation gives -8.94 eV/f.u.



3.
Here is Ac2NdIr2 after structural relaxation from Alexandria via LeMat-Bulk. Energies are from PBE-GGA.

a = 13.973 Å, b = 4.337 Å, c = 5.959 Å
α = 90.00°, β = 115.14°, γ = 90.00°
Space group C2/m (No. 12)
Inequivalent atoms, fractional coordinates:
Ac 0.182 0.000 0.182 (multiplicity 4)
Nd 0.000 0.500 0.500 (multiplicity 2)
Ir 0.151 0.000 0.651 (multiplicity 4)

The value obtained for the distance to the lowest polymorph of the same formula is 0 meV/atom. The value obtained for the calculated total energy is -6.713 eV/atom. Its formation energy is -0.572 eV per atom.



4.
Here is Mn2GaN after structural relaxation from Alexandria via LeMat-Bulk. Energies are from PBE-GGA.

a = 4.174 Å, b = 2.712 Å, c = 4.458 Å
α = 90.00°, β = 101.25°, γ = 90.00°
Space group P2/m (No. 10)
Inequivalent atoms, fractional coordinates:
Mn 0.245 0.000 0.117 (multiplicity 2)
Ga 0.000 0.500 0.500 (multiplicity 1)
N 0.500 0.500 0.000 (multiplicity 1)

The value obtained for the calculated total energy is -7.437 eV/atom. For the uncorrected formation energy, the calculation gives -0.06 eV/f.u.



no.,calculated volume (Å³ per atom)
1,13.900
2,26.286
3,32.691
4,12.373